1:
A relaxed structure of NaPr2Rh, computed with GGA-PBE.

Values from the calculation:
The value obtained for the total moment is 0.00 μB/atom. Its space group is P4/mmm. The value obtained for the calculated density is 5.52 Mg/m³.

```
NaPr2Rh
1.0
-1.479 2.919 1.465
0.031 -1.596 3.211
8.686 3.557 1.683
Pr Na Rh
2 1 1
Cartesian
7.145 2.925 1.385
1.542 0.631 0.299
3.619 2.440 3.180
-0.724 0.662 2.338
```

***

2:
A relaxed structure of NaPr2Rh, computed with GGA-PBE.

Values from the calculation:
The value obtained for the total moment is 0.00 μB/atom. Its space group is R-3m. The value obtained for the calculated density is 4.85 Mg/m³.

```
NaPr2Rh
1.0
-2.071 2.944 -2.055
-3.243 1.875 1.774
3.948 8.123 3.478
Pr Na Rh
2 1 1
Cartesian
-0.535 10.264 2.703
-0.831 2.678 0.493
-0.683 6.471 1.598
0.000 0.000 0.000
```

***

Which of them is the least stable? Correct choice: 1.

***

1:
A relaxed structure of NaPrSb2, computed with GGA-PBE.

Values from the calculation:
The value obtained for the total moment is 0.00 μB/atom. Its space group is Cmme. The value obtained for the calculated density is 5.87 Mg/m³.

```
NaPrSb2
1.0
0.297 5.316 3.503
-5.520 -3.089 -0.783
1.260 -3.616 5.381
Na Pr Sb
2 2 4
Cartesian
-2.611 1.114 1.360
0.000 0.000 0.000
-2.360 -2.691 1.315
1.009 0.188 5.427
0.370 2.021 2.699
-1.722 -4.524 4.042
0.630 -1.808 2.691
-1.981 -0.694 4.051
```

***

2:
A relaxed structure of NaPrSb2, computed with GGA-PBE.

Values from the calculation:
The value obtained for the total moment is 0.00 μB/atom. Its space group is R-3m. The value obtained for the calculated density is 5.81 Mg/m³.

```
NaPrSb2
1.0
-3.634 -2.577 -3.080
-3.799 -3.093 2.309
-5.269 1.734 0.005
Pr Sb Na
1 2 1
Cartesian
-6.351 -1.968 -0.383
-3.166 -0.997 -0.193
-9.536 -2.939 -0.574
0.000 0.000 0.000
```

***

Which of them is the least stable? Correct choice: 2.

***

1:
A relaxed structure of NaPrSb2, computed with GGA-PBE.

Values from the calculation:
The value obtained for the total moment is 0.00 μB/atom. Its space group is P4/mmm. The value obtained for the calculated density is 5.67 Mg/m³.

```
NaPrSb2
1.0
-1.163 -3.407 -2.074
3.398 0.284 -2.373
3.475 -3.929 4.505
Pr Sb Na
1 2 1
Cartesian
2.855 -3.526 0.029
2.545 -2.878 3.300
0.930 -1.051 1.205
1.118 -1.561 -2.223
```

***

2:
A relaxed structure of NaPrSb2, computed with GGA-PBE.

Values from the calculation:
The value obtained for the total moment is 0.00 μB/atom. Its space group is P4/mmm. The value obtained for the calculated density is 6.00 Mg/m³.

```
NaPrSb2
1.0
4.395 0.000 0.000
0.000 5.063 0.000
0.000 0.000 5.063
Pr Sb Na
1 2 1
Cartesian
2.198 2.532 2.532
0.000 0.000 2.532
0.000 2.532 0.000
2.198 0.000 0.000
```

***

Which of them is the least stable? Correct choice: 1.

***

1:
A relaxed structure of NaPrSc, computed with GGA-PBE.

Values from the calculation:
The value obtained for the total moment is 0.00 μB/atom. Its space group is Fmmm. The value obtained for the calculated density is 3.47 Mg/m³.

```
NaPrSc
1.0
-0.172 -1.739 5.846
1.016 -6.269 1.350
5.524 0.140 3.389
Sc Na Pr
2 2 2
Cartesian
3.141 -4.369 6.754
3.227 -3.499 3.831
0.150 -3.318 5.386
0.694 -4.690 1.810
3.456 -1.086 6.148
1.896 -0.513 3.088
```

***

2:
A relaxed structure of NaPrSc, computed with GGA-PBE.

Values from the calculation:
The value obtained for the total moment is 0.00 μB/atom. Its space group is P6/mmm. The value obtained for the calculated density is 3.74 Mg/m³.

```
NaPrSc
1.0
5.472 0.000 0.000
2.736 4.739 0.000
-0.001 0.000 7.147
Na Pr Sc
2 2 2
Cartesian
6.118 4.638 5.650
6.116 1.478 5.654
3.382 3.058 3.726
3.382 3.058 0.431
6.118 4.638 2.078
6.118 1.479 2.080
```

***

3:
A relaxed structure of NaPrSc, computed with GGA-PBE.

Values from the calculation:
The value obtained for the total moment is 0.19 μB/atom. Its space group is P3m1. The value obtained for the calculated density is 3.65 Mg/m³.

```
NaPrSc
1.0
3.494 0.000 0.000
-1.747 3.026 0.000
0.000 0.000 8.990
Pr Sc Na
1 1 1
Cartesian
0.000 2.017 5.781
1.747 1.009 3.116
0.000 0.000 0.092
```

***

Which of them is the least stable? Correct choice: 1.

***

1:
A relaxed structure of NaPr2Sm, computed with GGA-PBE.

Values from the calculation:
The value obtained for the total moment is 0.00 μB/atom. Its space group is P4/mmm. The value obtained for the calculated density is 5.45 Mg/m³.

```
NaPr2Sm
1.0
3.763 0.000 0.000
0.000 6.068 0.000
0.000 0.000 6.068
Pr Na Sm
2 1 1
Cartesian
0.000 0.000 3.034
0.000 3.034 0.000
1.882 3.034 3.034
1.882 0.000 0.000
```

***

2:
A relaxed structure of NaPr2Sm, computed with GGA-PBE.

Values from the calculation:
The value obtained for the total moment is 0.00 μB/atom. Its space group is P4/mmm. The value obtained for the calculated density is 5.29 Mg/m³.

```
NaPr2Sm
1.0
-0.252 -3.400 1.156
0.123 -1.167 -3.403
11.000 -0.611 0.605
Pr Na Sm
2 1 1
Cartesian
8.425 -0.468 0.464
2.575 -0.143 0.142
5.435 -2.589 -0.821
-0.065 -2.283 -1.124
```

***

3:
A relaxed structure of NaPr2Sm, computed with GGA-PBE.

Values from the calculation:
The value obtained for the total moment is 0.00 μB/atom. Its space group is R-3m. The value obtained for the calculated density is 5.13 Mg/m³.

```
NaPr2Sm
1.0
-0.667 2.948 -1.979
-0.379 -0.277 -3.582
-13.155 -0.999 -0.352
Pr Na Sm
2 1 1
Cartesian
-9.643 -0.481 -0.764
-4.558 2.153 -5.150
0.000 0.000 0.000
-7.101 0.836 -2.957
```

***

Which of them is the least stable? Correct choice: 1.

***

1:
A relaxed structure of NaPrSm, computed with GGA-PBE.

Values from the calculation:
The value obtained for the total moment is 0.00 μB/atom. Its space group is P3m1. The value obtained for the calculated density is 4.86 Mg/m³.

```
NaPrSm
1.0
3.644 0.000 0.000
-1.822 3.156 0.000
0.000 0.000 9.330
Pr Na Sm
1 1 1
Cartesian
1.822 1.052 3.249
0.000 0.000 9.312
0.000 2.104 6.099
```

***

2:
A relaxed structure of NaPrSm, computed with GGA-PBE.

Values from the calculation:
The value obtained for the total moment is 0.00 μB/atom. Its space group is P-3m1. The value obtained for the calculated density is 5.02 Mg/m³.

```
NaPrSm
1.0
5.736 0.000 0.001
2.868 4.968 0.000
-0.001 0.001 7.298
Na Pr Sm
2 2 2
Cartesian
6.415 4.862 5.769
6.414 1.550 5.775
3.545 3.206 3.835
3.545 3.206 0.409
6.413 4.862 2.121
6.412 1.550 2.124
```

***

3:
A relaxed structure of NaPrSm, computed with GGA-PBE.

Values from the calculation:
The value obtained for the total moment is 0.00 μB/atom. Its space group is I4mm. The value obtained for the calculated density is 4.89 Mg/m³.

```
NaPrSm
1.0
3.583 0.000 0.000
0.000 3.583 0.000
-1.792 -1.792 8.314
Pr Na Sm
1 1 1
Cartesian
1.792 1.792 2.896
1.792 1.792 8.298
0.000 0.000 5.434
```

***

Which of them is the least stable? Correct choice: 2.